## SrBeS2N (PBE-GGA)

Data for a relaxed SrBeS2N crystal.

E_tot: -4.68 eV per atom

Unit cell a=5.0694 b=5.0694 c=3.3239 alpha=90.00 beta=90.00 gamma=90.00
Last column: magnetic moment on the atom in μB.
Positions (direct):
Be 0.0000 0.0000 0.0000  -0.02
S 0.0000 0.5000 0.0000  0.14
S 0.5000 0.0000 0.0000  0.14
N 0.0000 0.0000 0.5000  0.73
Sr 0.5000 0.5000 0.5000  0.00